This record from the Alexandria database describes a relaxed HfPd4Pt2 crystal. The functional is GGA-PBE.

a b c (Å): 5.173 5.173 4.991
angles (deg): 92.71 92.71 118.21
Element x y z (fractional)
Hf: 0.000 0.000 0.000
Pd: 0.000 0.500 0.000
Pd: 0.171 0.829 0.500
Pd: 0.500 0.000 0.000
Pd: 0.829 0.171 0.500
Pt: 0.444 0.444 0.740
Pt: 0.556 0.556 0.260

Values from the calculation:
Its density of states at the Fermi level is 5.8 states/eV/f.u. The formation energy comes out at -7.94 kcal/mol of atoms. For the total energy, the calculation gives -6.4593 eV/atom. Its space group is No. 12.